1.
ZrMnH3: optimized geometry, PBE-GGA.

abc: 3.779 3.779 3.779
angles: 90.00 90.00 90.00
Space group Pm-3m (No. 221)
Unique sites:
Zr 0.000 0.000 0.000 x1
Mn 0.500 0.500 0.500 x1
H 0.000 0.000 0.500 x3

Output
- calculated total energy (eV per atom) = -5.396
- spin magnetization (μB/atom) = 0.75

2.
TlCuBi2: optimized geometry, PBE-GGA.

abc: 5.564 5.564 17.222
angles: 90.00 90.00 90.00
Space group I-42d (No. 122)
Unique sites:
Tl 0.000 0.000 0.000 x4
Cu 0.000 0.000 0.500 x4
Bi 0.156 0.250 0.625 x8

Output
- spin magnetization (μB/atom) = 0.00
- formation enthalpy at 0 K (eV/atom) = 0.2411

3.
SrMg2W: optimized geometry, PBE-GGA.

abc: 4.690 4.690 4.355
angles: 90.00 90.00 90.00
Space group P4/mmm (No. 123)
Unique sites:
Sr 0.000 0.000 0.000 x1
Mg 0.000 0.500 0.500 x2
W 0.500 0.500 0.000 x1

Output
- spin magnetization (μB/atom) = 0.36
- formation enthalpy at 0 K (eV/atom) = 0.9182
- relative energy among the computed polymorphs (eV/atom) = 0.3359

4.
KBi: optimized geometry, PBE-GGA.

abc: 15.076 15.076 4.592
angles: 90.00 90.00 90.00
Space group I4/m (No. 87)
Unique sites:
K 0.046 0.755 0.000 x8
Bi 0.189 0.279 0.000 x8

Output
- spin magnetization (μB/atom) = 0.00
- formation enthalpy at 0 K (eV/atom) = -0.1632

5.
MnTl2Te: optimized geometry, PBE-GGA.

abc: 7.751 7.751 7.751
angles: 90.00 90.00 90.00
Space group Fm-3m (No. 225)
Unique sites:
Mn 0.000 0.000 0.000 x4
Tl 0.250 0.250 0.250 x8
Te 0.000 0.000 0.500 x4

Output
- formation energy from raw total energies (kJ/mol of formula units) = 153
- spin magnetization (μB/atom) = 1.20
- relative energy among the computed polymorphs (eV/atom) = 0.3192

6.
Nd6PSe3Cl2: optimized geometry, PBE-GGA.

abc: 7.392 12.490 7.170
angles: 90.00 108.97 90.00
Space group C2/m (No. 12)
Unique sites:
Nd 0.218 0.000 0.244 x4
Nd 0.233 0.155 0.743 x8
P 0.000 0.000 0.500 x2
Se 0.000 0.177 0.000 x4
Se 0.000 0.500 0.000 x2
Cl 0.000 0.340 0.500 x4

Output
- formation energy from raw total energies (kJ/mol of formula units) = -1936
- spin magnetization (μB/atom) = 0.00

7.
LiYSc2Co: optimized geometry, PBE-GGA.

abc: 4.886 4.886 5.249
angles: 90.00 90.00 90.00
Space group P4/mmm (No. 123)
Unique sites:
Li 0.000 0.000 0.000 x1
Y 0.500 0.500 0.000 x1
Sc 0.000 0.500 0.500 x2
Co 0.500 0.500 0.500 x1

Output
- spin magnetization (μB/atom) = 0.00
- formation enthalpy at 0 K (eV/atom) = 0.0047

8.
FeHg2Pb: optimized geometry, PBE-GGA.

abc: 3.656 4.684 5.717
angles: 90.00 107.91 90.00
Space group P2/m (No. 10)
Unique sites:
Fe 0.000 0.000 0.000 x1
Hg 0.367 0.500 0.219 x2
Pb 0.000 0.000 0.500 x1

Output
- spin magnetization (μB/atom) = 0.72
- formation enthalpy at 0 K (eV/atom) = 0.4339

9.
Cu3GePd: optimized geometry, PBE-GGA.

abc: 4.706 6.554 4.789
angles: 90.00 101.60 90.00
Space group P2_1/m (No. 11)
Unique sites:
Cu 0.075 0.250 0.389 x2
Cu 0.196 0.060 0.869 x4
Ge 0.463 0.750 0.752 x2
Pd 0.312 0.750 0.236 x2

Output
- spin magnetization (μB/atom) = 0.00
- formation enthalpy at 0 K (eV/atom) = -0.0166
- relative energy among the computed polymorphs (eV/atom) = 0.0000

10.
Tb3Tm6PuSc2: optimized geometry, PBE-GGA.

abc: 5.987 10.369 11.433
angles: 90.00 100.08 90.00
Space group C2/m (No. 12)
Unique sites:
Tb 0.000 0.000 0.000 x2
Tb 0.000 0.332 0.000 x4
Tm 0.247 0.334 0.743 x8
Tm 0.249 0.000 0.743 x4
Pu 0.000 0.500 0.500 x2
Sc 0.000 0.167 0.500 x4

Output
- spin magnetization (μB/atom) = 0.55
- formation enthalpy at 0 K (eV/atom) = 0.0576

11.
EuHfTl2: optimized geometry, PBE-GGA.

abc: 3.351 3.351 9.186
angles: 90.00 90.00 90.00
Space group P4/mmm (No. 123)
Unique sites:
Eu 0.000 0.000 0.000 x1
Hf 0.000 0.000 0.500 x1
Tl 0.500 0.500 0.268 x2

Output
- spin magnetization (μB/atom) = 1.75
- formation enthalpy at 0 K (eV/atom) = -0.0822

12.
LaHo3Ga4: optimized geometry, PBE-GGA.

abc: 10.222 7.224 5.111
angles: 90.00 90.00 90.00
Space group Pmma (No. 51)
Unique sites:
La 0.000 0.000 0.000 x2
Ho 0.000 0.500 0.000 x2
Ho 0.250 0.000 0.498 x2
Ho 0.250 0.500 0.497 x2
Ga 0.000 0.264 0.500 x4
Ga 0.250 0.264 0.997 x4

Output
- spin magnetization (μB/atom) = 0.00
- formation enthalpy at 0 K (eV/atom) = -0.5671

13.
HoEr2Ir4: optimized geometry, PBE-GGA.

abc: 6.613 6.613 6.578
angles: 90.00 90.00 90.00
Space group I4/mmm (No. 139)
Unique sites:
Ho 0.000 0.000 0.000 x2
Er 0.000 0.500 0.000 x4
Ir 0.250 0.250 0.250 x8

Output
- spin magnetization (μB/atom) = 0.00
- formation enthalpy at 0 K (eV/atom) = -0.2807

14.
Hf4Zr3N8: optimized geometry, PBE-GGA.

abc: 9.095 9.098 6.426
angles: 90.00 134.91 90.00
Space group C2/m (No. 12)
Unique sites:
Hf 0.000 0.000 0.000 x2
Hf 0.000 0.000 0.500 x2
Hf 0.250 0.250 0.000 x4
Zr 0.000 0.500 0.500 x2
Zr 0.250 0.250 0.500 x4
N 0.000 0.240 0.000 x4
N 0.000 0.246 0.500 x4
N 0.236 0.000 0.479 x4
N 0.237 0.000 0.993 x4

Output
- formation energy from raw total energies (kJ/mol of formula units) = -2434
- spin magnetization (μB/atom) = 0.00

15.
RbIrOs: optimized geometry, PBE-GGA.

abc: 5.271 4.157 6.996
angles: 90.00 99.85 90.00
Space group P2_1/m (No. 11)
Unique sites:
Rb 0.233 0.250 0.425 x2
Ir 0.111 0.250 0.938 x2
Os 0.391 0.750 0.049 x2

Output
- spin magnetization (μB/atom) = 0.00
- formation enthalpy at 0 K (eV/atom) = 0.5391
- relative energy among the computed polymorphs (eV/atom) = 0.0000

16.
NdSm2ScSb4: optimized geometry, PBE-GGA.

abc: 7.642 4.421 7.648
angles: 90.00 109.51 90.00
Space group P2/m (No. 10)
Unique sites:
Nd 0.000 0.000 0.000 x1
Sm 0.000 0.500 0.500 x1
Sm 0.500 0.000 0.500 x1
Sc 0.500 0.500 0.000 x1
Sb 0.259 0.500 0.246 x2
Sb 0.264 0.000 0.762 x2

Output
- formation energy from raw total energies (kJ/mol of formula units) = -843
- spin magnetization (μB/atom) = 0.00

17.
GdY2Mg: optimized geometry, PBE-GGA.

abc: 5.510 5.510 3.958
angles: 90.00 90.00 90.00
Space group P4/mmm (No. 123)
Unique sites:
Gd 0.000 0.000 0.000 x1
Y 0.000 0.500 0.500 x2
Mg 0.500 0.500 0.000 x1

Output
- spin magnetization (μB/atom) = 1.82
- formation enthalpy at 0 K (eV/atom) = 0.0434
- relative energy among the computed polymorphs (eV/atom) = 0.0753

18.
Nd3InSb4: optimized geometry, PBE-GGA.

abc: 6.388 6.388 6.388
angles: 90.00 90.00 90.00
Space group Pm-3m (No. 221)
Unique sites:
Nd 0.000 0.000 0.500 x3
In 0.500 0.500 0.500 x1
Sb 0.000 0.000 0.000 x1
Sb 0.000 0.500 0.500 x3

Output
- formation energy from raw total energies (kJ/mol of formula units) = -615
- spin magnetization (μB/atom) = 0.00

19.
KNbNO2: optimized geometry, PBE-GGA.

abc: 4.147 4.147 4.099
angles: 90.00 90.00 90.00
Space group P4/mmm (No. 123)
Unique sites:
K 0.000 0.000 0.000 x1
Nb 0.500 0.500 0.500 x1
N 0.000 0.000 0.500 x1
O 0.000 0.500 0.000 x2

Output
- formation energy from raw total energies (kJ/mol of formula units) = 798
- spin magnetization (μB/atom) = 0.00

20.
Gd3TmIr: optimized geometry, PBE-GGA.

abc: 5.465 5.465 5.465
angles: 90.00 90.00 90.00
Space group Pm-3m (No. 221)
Unique sites:
Gd 0.000 0.000 0.500 x3
Tm 0.500 0.500 0.500 x1
Ir 0.000 0.000 0.000 x1

Output
- spin magnetization (μB/atom) = 4.45
- formation enthalpy at 0 K (eV/atom) = -0.2119